A relaxed structure of CrFeReNi, computed with PBE.

As for the formation energy: 154.7 meV/atom.

The structure belongs to space group F-43m (No. 216); the cell edges are 5.817, 5.817 and 5.817 Å and the angles 90.00°, 90.00° and 90.00°. The asymmetric unit holds Cr at (0.000, 0.000, 0.000), Fe at (0.000, 0.000, 0.500), Re at (0.250, 0.250, 0.750) and Ni at (0.250, 0.250, 0.250).


A relaxed structure of CrFeNiRh, computed with PBE.

As for the formation energy: 97.7 meV/atom.

The structure belongs to space group F-43m (No. 216); the cell edges are 5.837, 5.837 and 5.837 Å and the angles 90.00°, 90.00° and 90.00°. The asymmetric unit holds Cr at (0.000, 0.000, 0.000), Fe at (0.250, 0.250, 0.750), Ni at (0.000, 0.000, 0.500) and Rh at (0.250, 0.250, 0.250).


A relaxed structure of CrFeNiS2, computed with PBE.

Its uncorrected formation energy is 1002 meV per atom.

The structure belongs to space group P4/mmm (No. 123); the cell edges are 4.298, 4.298 and 4.204 Å and the angles 90.00°, 90.00° and 90.00°. The asymmetric unit holds Cr at (0.000, 0.000, 0.000), Fe at (0.000, 0.000, 0.500), Ni at (0.500, 0.500, 0.000) and S at (0.000, 0.500, 0.500).


A relaxed structure of Cr2FeNiSe, computed with PBE.

Its uncorrected formation energy is 1393 meV per atom.

The structure belongs to space group P4/mmm (No. 123); the cell edges are 4.235, 4.235 and 4.332 Å and the angles 90.00°, 90.00° and 90.00°. The asymmetric unit holds Cr at (0.000, 0.500, 0.000), Fe at (0.000, 0.000, 0.500), Ni at (0.000, 0.000, 0.000) and Se at (0.500, 0.500, 0.500).


A relaxed structure of CrFeSiNi, computed with PBE.

Its uncorrected formation energy is -180 meV per atom.

The structure belongs to space group F-43m (No. 216); the cell edges are 5.649, 5.649 and 5.649 Å and the angles 90.00°, 90.00° and 90.00°. The asymmetric unit holds Cr at (0.000, 0.000, 0.000), Fe at (0.250, 0.250, 0.250), Si at (0.250, 0.250, 0.750) and Ni at (0.000, 0.000, 0.500).


A relaxed structure of Ta2CrFeNi, computed with PBE.

As for the formation energy: 953.8 meV/atom.

The structure belongs to space group P4/mmm (No. 123); the cell edges are 4.578, 4.578 and 4.030 Å and the angles 90.00°, 90.00° and 90.00°. The asymmetric unit holds Ta at (0.000, 0.500, 0.000), Cr at (0.000, 0.000, 0.500), Fe at (0.000, 0.000, 0.000) and Ni at (0.500, 0.500, 0.500).


A relaxed structure of Cr2FeTcNi, computed with PBE.

As for the formation energy: 1676.4 meV/atom.

The structure belongs to space group P4/mmm (No. 123); the cell edges are 4.365, 4.365 and 4.478 Å and the angles 90.00°, 90.00° and 90.00°. The asymmetric unit holds Cr at (0.000, 0.500, 0.000), Fe at (0.000, 0.000, 0.500), Tc at (0.000, 0.000, 0.000) and Ni at (0.500, 0.500, 0.500).


A relaxed structure of CrFeNi2Te, computed with PBE.

Its uncorrected formation energy is 1161 meV per atom.

The structure belongs to space group P4/mmm (No. 123); the cell edges are 4.314, 4.314 and 4.829 Å and the angles 90.00°, 90.00° and 90.00°. The asymmetric unit holds Cr at (0.000, 0.000, 0.000), Fe at (0.500, 0.500, 0.500), Ni at (0.000, 0.500, 0.000) and Te at (0.000, 0.000, 0.500).


A relaxed structure of TlCrFeNi2, computed with PBE.

As for the formation energy: 1454.6 meV/atom.

The structure belongs to space group P4/mmm (No. 123); the cell edges are 4.298, 4.298 and 4.851 Å and the angles 90.00°, 90.00° and 90.00°. The asymmetric unit holds Tl at (0.000, 0.000, 0.000), Cr at (0.500, 0.500, 0.000), Fe at (0.000, 0.000, 0.500) and Ni at (0.000, 0.500, 0.500).


A relaxed structure of ZnCrFeNi, computed with PBE.

As for the formation energy: 91.3 meV/atom.

The structure belongs to space group F-43m (No. 216); the cell edges are 5.787, 5.787 and 5.787 Å and the angles 90.00°, 90.00° and 90.00°. The asymmetric unit holds Zn at (0.000, 0.000, 0.000), Cr at (0.250, 0.250, 0.250), Fe at (0.000, 0.000, 0.500) and Ni at (0.250, 0.250, 0.750).


A relaxed structure of NpCrFe4, computed with PBE.

As for the formation energy: 225.4 meV/atom.

The structure belongs to space group F-43m (No. 216); the cell edges are 6.865, 6.865 and 6.865 Å and the angles 90.00°, 90.00° and 90.00°. The asymmetric unit holds Np at (0.000, 0.000, 0.000), Cr at (0.250, 0.250, 0.750) and Fe at (0.124, 0.124, 0.376).


A relaxed structure of NpCrFe, computed with PBE.

As for the formation energy: 495.0 meV/atom.

The structure belongs to space group C2/m (No. 12); the cell edges are 5.395, 3.748 and 9.030 Å and the angles 90.00°, 101.26° and 90.00°. The asymmetric unit holds Np at (0.195, 0.000, 0.405), Cr at (0.246, 0.500, 0.094) and Fe at (0.083, 0.500, 0.804).


Number 1: calculated density 11.9 g/cm³, VASP energy -8.9241 eV per atom. Number 2: calculated density 9.0 g/cm³, VASP energy -7.7070 eV per atom. Number 3: calculated density 4.9 g/cm³, VASP energy -5.4222 eV per atom. Number 4: calculated density 6.4 g/cm³, VASP energy -6.0022 eV per atom. Number 5: calculated density 7.2 g/cm³, VASP energy -7.5023 eV per atom. Number 6: calculated density 10.4 g/cm³, VASP energy -8.5607 eV per atom. Number 7: calculated density 6.2 g/cm³, VASP energy -7.0949 eV per atom. Number 8: calculated density 6.5 g/cm³, VASP energy -5.3968 eV per atom. Number 9: calculated density 8.0 g/cm³, VASP energy -4.9484 eV per atom. Number 10: calculated density 8.0 g/cm³, VASP energy -6.1940 eV per atom. Number 11: calculated density 10.5 g/cm³, VASP energy -9.1770 eV per atom. Number 12: calculated density 12.8 g/cm³, VASP energy -9.8472 eV per atom.